1.
The following is a PBE calculation of crystalline Pm2SmY2Ho2 at its relaxed geometry, from the Alexandria database.

Geometry as CIF:
```
data_Pm2SmY2Ho2
_chemical_formula_sum 'Pm2 Sm1 Y2 Ho2'
_symmetry_space_group_name_H-M 'P 1'
_symmetry_Int_Tables_number 1
_symmetry_space_group_name_Hall 'P 1'
_cell_length_a 5.076
_cell_length_b 6.207
_cell_length_c 8.036
_cell_angle_alpha 97.48
_cell_angle_beta 90.00
_cell_angle_gamma 114.13
loop_
_atom_site_label
_atom_site_fract_x
_atom_site_fract_y
_atom_site_fract_z
Pm1 0.142 0.284 0.428
Y1 0.715 0.429 0.142
Sm1 0.000 0.000 0.000
Ho1 0.571 0.142 0.714
Y2 0.285 0.571 0.858
Pm2 0.858 0.716 0.572
Ho2 0.429 0.858 0.286
```

Results
ΔH_f (0 K) = 1.67 kJ/mol of atoms


2.
The following is a PBE calculation of crystalline AgC5 at its relaxed geometry, from the Alexandria database.

Geometry as CIF:
```
data_AgC5
_chemical_formula_sum 'Ag1 C5'
_symmetry_space_group_name_H-M 'P 1'
_symmetry_Int_Tables_number 1
_symmetry_space_group_name_Hall 'P 1'
_cell_length_a 5.944
_cell_length_b 5.944
_cell_length_c 2.564
_cell_angle_alpha 90.00
_cell_angle_beta 90.00
_cell_angle_gamma 112.15
loop_
_atom_site_label
_atom_site_fract_x
_atom_site_fract_y
_atom_site_fract_z
C1 0.406 0.594 0.500
C2 0.746 0.254 0.000
Ag1 0.983 0.017 0.000
C3 0.265 0.735 0.500
C4 0.738 0.262 0.500
C5 0.196 0.804 0.000
```

Results
ΔH_f (0 K) = 140.34 kJ/mol of atoms